(1)
Compound: LuScInSn
Source: Alexandria via LeMat-Bulk
Functional: GGA-PBE
Structure: relaxed

**Total moment**: 0.00 Bohr magnetons per cell
**Energy relative to the elements**: -0.42 eV per atom

a = 5.156 Å, b = 5.156 Å, c = 5.156 Å
α = 60.00°, β = 60.00°, γ = 60.00°
Element x y z (fractional)
1 In 0.750 0.750 0.750
2 Sn 0.250 0.250 0.250
3 Lu 0.000 0.000 0.000
4 Sc 0.500 0.500 0.500

---

(2)
Compound: InFe2Au
Source: Alexandria via LeMat-Bulk
Functional: GGA-PBE
Structure: relaxed

**Total moment**: 5.12 Bohr magnetons per cell
**Energy relative to the elements**: 0.15 eV per atom

a = 5.174 Å, b = 5.174 Å, c = 5.174 Å
α = 143.42°, β = 129.15°, γ = 64.26°
Site moments in Bohr magnetons follow the coordinates.
Element x y z (fractional)
1 Fe 0.224 0.724 0.500  2.63
2 In 0.491 0.491 0.000  -0.08
3 Fe 0.022 0.022 0.000  2.56
4 Au 0.763 0.263 0.500  0.00

---

(3)
Compound: CaInH3
Source: Alexandria via LeMat-Bulk
Functional: GGA-PBE
Structure: relaxed

**Energy above the lowest structure with this stoichiometry**: 0 meV per atom
**Total moment**: 0.00 Bohr magnetons per cell

a = 4.316 Å, b = 4.316 Å, c = 4.316 Å
α = 90.00°, β = 90.00°, γ = 90.00°
Element x y z (fractional)
1 H 0.000 0.500 0.000
2 H 0.000 0.000 0.500
3 H 0.500 0.000 0.000
4 Ca 0.000 0.000 0.000
5 In 0.500 0.500 0.500

---

(4)
Compound: ErCuHg
Source: Alexandria via LeMat-Bulk
Functional: GGA-PBE
Structure: relaxed

**Total moment**: 0.00 Bohr magnetons per cell
**Energy relative to the elements**: -0.31 eV per atom

a = 3.396 Å, b = 4.610 Å, c = 4.610 Å
α = 120.00°, β = 90.00°, γ = 90.00°
Element x y z (fractional)
1 Er 0.667 0.667 0.333
2 Hg 0.167 0.333 0.667
3 Cu 0.166 0.000 0.000